# 1
Here is a relaxed BaCa3Ir crystal from the Alexandria database. Energies are from GGA-PBE.

Cell: 5.5272 5.5272 5.5272 Å, 90.00 90.00 90.00°
Closest atoms and distances in Å follow each position.
Sites, in units of the cell vectors:
Ba  0.0000  0.0000  0.0000  6 Ca 2.76
Ca  0.0000  0.0000  0.5000  2 Ba 2.76
Ca  0.0000  0.5000  0.0000  2 Ba 2.76
Ca  0.5000  0.0000  0.0000  2 Ba 2.76
Ir  0.5000  0.5000  0.5000  12 Ca 3.91

Output
For the relative energy among the computed polymorphs, the calculation gives 1888.9 meV/atom. As for the final energy: -1.650 eV/atom. Its total magnetic moment is 0.2 μB per cell. The energy of formation from the pure elements is 164.8 kJ/mol of atoms.

***

# 2
Here is a relaxed Ba3CaIr crystal from the Alexandria database. Energies are from GGA-PBE.

Cell: 6.2305 6.2305 6.2305 Å, 90.00 90.00 90.00°
Closest atoms and distances in Å follow each position.
Sites, in units of the cell vectors:
Ba  0.0000  0.0000  0.5000  2 Ir 3.12
Ba  0.0000  0.5000  0.0000  2 Ir 3.12
Ba  0.5000  0.0000  0.0000  2 Ir 3.12
Ca  0.5000  0.5000  0.5000  12 Ba 4.41
Ir  0.0000  0.0000  0.0000  6 Ba 3.12

Output
For the relative energy among the computed polymorphs, the calculation gives 63.3 meV/atom. As for the final energy: -3.374 eV/atom. Its total magnetic moment is 0.0 μB per cell. The energy of formation from the pure elements is -4.6 kJ/mol of atoms.

***

# 3
Here is a relaxed Ba2Ca6Ir crystal from the Alexandria database. Energies are from GGA-PBE.

Cell: 8.1689 8.1689 8.1689 Å, 60.00 60.00 60.00°
Closest atoms and distances in Å follow each position.
Sites, in units of the cell vectors:
Ba  0.2500  0.2500  0.2500  12 Ca 4.09
Ba  0.7500  0.7500  0.7500  12 Ca 4.09
Ca  0.2415  0.2415  0.7585  1 Ir 2.79
Ca  0.2415  0.7585  0.2415  1 Ir 2.79
Ca  0.2415  0.7585  0.7585  1 Ir 2.79
Ca  0.7585  0.2415  0.2415  1 Ir 2.79
Ca  0.7585  0.2415  0.7585  1 Ir 2.79
Ca  0.7585  0.7585  0.2415  1 Ir 2.79
Ir  0.0000  0.0000  0.0000  6 Ca 2.79

Output
As for the final energy: -2.882 eV/atom. Its total magnetic moment is 0.0 μB per cell. The energy of formation from the pure elements is -13.1 kJ/mol of atoms.

***

What is the formula in the third record? Ba2Ca6Ir

***

Among the records above, which one has the highest final energy? BaCa3Ir